*1*
## SrGeF2 (PBE-GGA)

Data for SrGeF2 after structural relaxation.

Results
DOS(E_F)	2.58	states/eV/cell
SG	I-42d

Cell: 6.1373 6.1373 6.9796 Å, 63.92 63.92 90.00°
Closest atoms and distances in Å follow each position.
Fractional coordinates of all 8 atoms:
Sr: 0.0000 0.0000 0.0000  4 F 2.30
Sr: 0.7500 0.2500 0.5000  4 F 2.30
Ge: 0.5000 0.5000 0.0000  4 F 2.89
Ge: 0.2500 0.7500 0.5000  4 F 2.89
F: 0.7058 0.1250 0.2500  2 Sr 2.30
F: 0.0442 0.6250 0.2500  2 Sr 2.30
F: 0.3750 0.2942 0.7500  2 Sr 2.30
F: 0.8750 0.9558 0.7500  2 Sr 2.30

***

*2*
## SrGeF2 (PBE-GGA)

Data for SrGeF2 after structural relaxation.

Results
DOS(E_F)	1.19	states/eV/cell
SG	R-3m

Cell: 6.9168 6.9168 6.9168 Å, 33.18 33.18 33.18°
Closest atoms and distances in Å follow each position.
Fractional coordinates of all 4 atoms:
Sr: 0.5000 0.5000 0.5000  6 F 2.44
Ge: 0.0000 0.0000 0.0000  2 F 2.39
F: 0.8781 0.8781 0.8781  1 Ge 2.39, 3 Sr 2.44
F: 0.1219 0.1219 0.1219  1 Ge 2.39, 3 Sr 2.44

***

Relative energy table, unit meV per atom: *1* 350; *2* 0

***

*1*
## TaGeF3 (PBE-GGA)

Data for TaGeF3 after structural relaxation.

Results
DOS(E_F)	4.05	states/eV/cell
SG	Pm-3m

Cell: 4.2636 4.2636 4.2636 Å, 90.00 90.00 90.00°
Closest atoms and distances in Å follow each position.
Fractional coordinates of all 5 atoms:
Ge: 0.5000 0.5000 0.5000  12 F 3.01
F: 0.0000 0.5000 0.0000  2 Ta 2.13
F: 0.0000 0.0000 0.5000  2 Ta 2.13
F: 0.5000 0.0000 0.0000  2 Ta 2.13
Ta: 0.0000 0.0000 0.0000  6 F 2.13

***

*2*
## TaGeF3 (PBE-GGA)

Data for TaGeF3 after structural relaxation.

Results
DOS(E_F)	8.90	states/eV/cell
SG	Pm-3m

Cell: 4.4118 4.4118 4.4118 Å, 90.00 90.00 90.00°
Closest atoms and distances in Å follow each position.
Fractional coordinates of all 5 atoms:
Ge: 0.0000 0.0000 0.0000  6 F 2.21
F: 0.0000 0.5000 0.0000  2 Ge 2.21
F: 0.0000 0.0000 0.5000  2 Ge 2.21
F: 0.5000 0.0000 0.0000  2 Ge 2.21
Ta: 0.5000 0.5000 0.5000  12 F 3.12

***

Relative energy table, unit meV per atom: *1* 0; *2* 825